Entry from Alexandria via LeMat-Bulk: crystalline RbCrIn3 at its relaxed geometry (PBE).

- energy above the lowest structure with this stoichiometry (eV/f.u.) = 5.982
- total magnetic moment (μB/cell) = 4.24
- DFT formation energy (eV per atom) = 1.4334
- space group = Pm-3m, No. 221
- total DFT energy (no corrections) (eV per atom) = -2.328

a = 6.1982 Å, b = 6.1982 Å, c = 6.1982 Å
α = 90.00°, β = 90.00°, γ = 90.00°
Closest atoms and distances in Å follow each position.
Positions (direct):
In (0.5000, 0.0000, 0.0000)  2 Rb 3.10
In (0.0000, 0.5000, 0.0000)  2 Rb 3.10
In (0.0000, 0.0000, 0.5000)  2 Rb 3.10
Cr (0.5000, 0.5000, 0.5000)  12 In 4.38
Rb (0.0000, 0.0000, 0.0000)  6 In 3.10